Record 1
This record from the Alexandria database describes a PBEsol-optimized structure of ScHN2O. The functional is meta-GGA SCAN.

Lattice parameters (Å, degrees): 2.9225 2.9225 4.6988 90.00 90.00 90.00
With the nearest neighbours (Å) after each atom.
Sites, in units of the cell vectors:
Sc  0.5000  0.5000  0.5000  4 O 2.07
N  0.0000  0.5000  0.0000  2 H 1.46
O  0.0000  0.0000  0.5000  4 Sc 2.07
N  0.5000  0.0000  0.0000  2 H 1.46
H  0.0000  0.0000  0.0000  4 N 1.46

Results
Total energy: -8.52 eV per atom



Record 2
This record from the Alexandria database describes a PBEsol-optimized structure of VH5Se2NO7. The functional is meta-GGA SCAN.

Lattice parameters (Å, degrees): 3.9355 7.8586 10.5567 90.00 90.00 97.75
With the nearest neighbours (Å) after each atom.
Sites, in units of the cell vectors:
O  0.5814  0.6277  0.8839  1 Se 1.74
O  0.7136  0.1012  0.0526  1 H 1.21
Se  0.7133  0.3123  0.0074  3 O 1.73-1.74
O  0.2864  0.8988  0.5526  1 H 1.21
H  0.5000  0.0000  0.0000  2 O 1.21
O  0.2864  0.8988  0.9474  1 H 1.21
O  0.0197  0.4660  0.7500  1 V 1.64
O  0.4186  0.3723  0.1161  1 Se 1.74
H  0.9842  0.0282  0.3312  1 N 1.05
H  0.9842  0.0282  0.1688  1 N 1.05
O  0.9803  0.5340  0.2500  1 V 1.64
H  0.6834  0.8688  0.7500  1 N 1.03
N  0.8632  0.9777  0.7500  4 H 1.03-1.05
H  0.0158  0.9718  0.6688  1 N 1.05
Se  0.2867  0.6877  0.5074  3 O 1.73-1.74
H  0.5000  0.0000  0.5000  2 O 1.21
V  0.5670  0.5463  0.2500  1 O 1.64
H  0.3166  0.1312  0.2500  1 N 1.03
H  0.0158  0.9718  0.8312  1 N 1.05
H  0.2602  0.9139  0.2500  1 N 1.04
O  0.4186  0.3723  0.3839  1 Se 1.74
O  0.7136  0.1012  0.4474  1 H 1.21
O  0.5392  0.7303  0.3731  1 Se 1.74
Se  0.7133  0.3123  0.4926  3 O 1.73-1.74
O  0.5392  0.7303  0.1269  1 Se 1.74
H  0.7398  0.0861  0.7500  1 N 1.04
O  0.5814  0.6277  0.6161  1 Se 1.74
O  0.4608  0.2697  0.8731  1 Se 1.74
Se  0.2867  0.6877  0.9926  3 O 1.73-1.74
V  0.4330  0.4537  0.7500  1 O 1.64
N  0.1368  0.0223  0.2500  4 H 1.03-1.05
O  0.4608  0.2697  0.6269  1 Se 1.74

Results
Total energy: -9.13 eV per atom



Record 3
This record from the Alexandria database describes a PBEsol-optimized structure of ZnH20Se2N2O14. The functional is meta-GGA SCAN.

Lattice parameters (Å, degrees): 6.4107 9.2031 12.4200 90.00 90.00 106.30
With the nearest neighbours (Å) after each atom.
Sites, in units of the cell vectors:
H  0.6755  0.4775  0.6433  1 O 1.00
O  0.6049  0.2694  0.9473  1 Se 1.68, 3 H 1.71-1.78
H  0.9992  0.6379  0.3113  1 O 1.00
O  0.4240  0.0709  0.2684  1 Se 1.68, 2 H 1.69-1.79
O  0.2106  0.9283  0.4454  1 H 1.63, 1 Se 1.65
O  0.9646  0.6600  0.3869  2 H 1.00-1.01
O  0.8299  0.3261  0.3921  2 H 0.99-1.00
H  0.9391  0.7362  0.9047  1 O 1.01
N  0.3540  0.6399  0.8345  4 H 1.04-1.05
O  0.2937  0.4961  0.4342  2 H 1.00
H  0.4538  0.5721  0.8121  1 N 1.05
H  0.6129  0.7643  0.2863  1 N 1.04
Se  0.2609  0.5833  0.1284  4 O 1.65-1.68
O  0.3951  0.7306  0.0527  1 Se 1.68, 3 H 1.71-1.78
O  0.9645  0.1600  0.1131  2 H 1.00-1.01
H  0.3220  0.7181  0.5823  1 O 1.00
H  0.5462  0.4279  0.1879  1 N 1.05
O  0.1701  0.6739  0.6079  2 H 0.99-1.00
O  0.9681  0.8892  0.6775  1 Se 1.67, 2 H 1.70-1.82
O  0.7063  0.0039  0.9342  2 H 1.00
H  0.5462  0.9279  0.3121  1 N 1.05
H  0.3871  0.2357  0.7137  1 N 1.04
H  0.3326  0.3995  0.4459  1 O 1.00
H  0.1948  0.0727  0.6752  1 N 1.04
O  0.1701  0.1739  0.8921  2 H 0.99-1.00
H  0.3244  0.0225  0.1434  1 O 1.00
H  0.8963  0.2420  0.3803  1 O 0.99
O  0.0319  0.1108  0.3225  1 Se 1.67, 2 H 1.70-1.82
H  0.6780  0.2819  0.4177  1 O 1.00
H  0.9991  0.1378  0.1887  1 O 1.00
H  0.0009  0.8622  0.8113  1 O 1.00
O  0.3951  0.2306  0.4473  1 Se 1.68, 3 H 1.71-1.78
O  0.5760  0.4291  0.7683  1 Se 1.68, 2 H 1.69-1.79
H  0.3871  0.7357  0.7863  1 N 1.04
H  0.6129  0.2643  0.2137  1 N 1.04
Se  0.2609  0.0833  0.3717  4 O 1.65-1.68
Zn  0.0000  0.5000  0.5000  6 O 2.06-2.14
O  0.5760  0.9291  0.7316  1 Se 1.68, 2 H 1.69-1.79
H  0.1037  0.2580  0.8803  1 O 0.99
O  0.6049  0.7694  0.5527  1 Se 1.68, 3 H 1.71-1.78
H  0.8052  0.4273  0.1753  1 N 1.04
H  0.0609  0.2638  0.0953  1 O 1.01
H  0.3326  0.8995  0.0542  1 O 1.00
H  0.6674  0.1005  0.9458  1 O 1.00
Se  0.7391  0.4167  0.8716  4 O 1.65-1.68
O  0.4240  0.5709  0.2317  1 Se 1.68, 2 H 1.69-1.79
H  0.0008  0.3621  0.6887  1 O 1.00
N  0.6460  0.3601  0.1655  4 H 1.04-1.05
H  0.3245  0.5225  0.3567  1 O 1.00
O  0.0354  0.3400  0.6131  2 H 1.00-1.01
H  0.8963  0.7420  0.1197  1 O 0.99
H  0.1037  0.7580  0.6197  1 O 0.99
O  0.7894  0.0717  0.5546  1 H 1.63, 1 Se 1.65
O  0.2937  0.9961  0.0658  2 H 1.00
H  0.6674  0.6005  0.5541  1 O 1.00
H  0.9391  0.2361  0.5953  1 O 1.01
O  0.7063  0.5039  0.5658  2 H 1.00
H  0.8052  0.9273  0.3248  1 N 1.04
H  0.3789  0.1726  0.5844  1 N 1.05
H  0.4538  0.0721  0.6879  1 N 1.05
H  0.6756  0.9775  0.8566  1 O 1.00
H  0.1948  0.5727  0.8247  1 N 1.04
N  0.3540  0.1399  0.6654  4 H 1.04-1.05
N  0.6460  0.8601  0.3346  4 H 1.04-1.05
H  0.3220  0.2181  0.9177  1 O 1.00
H  0.6780  0.7819  0.0823  1 O 1.00
O  0.9681  0.3893  0.8225  1 Se 1.67, 2 H 1.70-1.82
H  0.6211  0.3274  0.0844  1 N 1.05
O  0.2106  0.4283  0.0547  1 H 1.63, 1 Se 1.65
O  0.7894  0.5717  0.9453  1 H 1.63, 1 Se 1.65
H  0.6211  0.8274  0.4156  1 N 1.05
H  0.0609  0.7639  0.4047  1 O 1.01
Se  0.7391  0.9167  0.6283  4 O 1.65-1.68
O  0.0355  0.8400  0.8869  2 H 1.00-1.01
H  0.3789  0.6726  0.9156  1 N 1.05
Zn  0.0000  0.0000  0.0000  6 O 2.06-2.14
O  0.8299  0.8261  0.1079  2 H 0.99-1.00
O  0.0319  0.6107  0.1775  1 Se 1.67, 2 H 1.70-1.82

Results
Total energy: -6.79 eV per atom



Record 4
This record from the Alexandria database describes a PBEsol-optimized structure of SiHN2O. The functional is meta-GGA SCAN.

Lattice parameters (Å, degrees): 3.4025 3.6257 3.6257 90.00 90.00 90.00
With the nearest neighbours (Å) after each atom.
Sites, in units of the cell vectors:
H  0.5000  0.5000  0.5000  8 N 2.49, 4 O 2.56
N  0.0000  0.5000  0.0000  2 Si 1.81
Si  0.0000  0.0000  0.0000  2 O 1.70, 4 N 1.81
O  0.5000  0.0000  0.0000  2 Si 1.70
N  0.0000  0.0000  0.5000  2 Si 1.81

Results
Total energy: -7.09 eV per atom



Record 5
This record from the Alexandria database describes a PBEsol-optimized structure of SiHN2O. The functional is meta-GGA SCAN.

Lattice parameters (Å, degrees): 2.8219 2.8219 4.6328 90.00 90.00 90.00
With the nearest neighbours (Å) after each atom.
Sites, in units of the cell vectors:
N  0.0000  0.5000  0.0000  2 H 1.41
Si  0.5000  0.5000  0.5000  4 O 2.00
O  0.0000  0.0000  0.5000  4 Si 2.00
N  0.5000  0.0000  0.0000  2 H 1.41
H  0.0000  0.0000  0.0000  4 N 1.41

Results
Total energy: -6.29 eV per atom



Record 6
This record from the Alexandria database describes a PBEsol-optimized structure of TcHN2O. The functional is meta-GGA SCAN.

Lattice parameters (Å, degrees): 2.9615 2.9615 4.0126 90.00 90.00 90.00
With the nearest neighbours (Å) after each atom.
Sites, in units of the cell vectors:
N  0.0000  0.5000  0.0000  2 H 1.48
H  0.0000  0.0000  0.0000  4 N 1.48
Tc  0.5000  0.5000  0.5000  4 O 2.09
N  0.5000  0.0000  0.0000  2 H 1.48
O  0.0000  0.0000  0.5000  2 H 2.01, 4 Tc 2.09

Results
Total energy: -11.31 eV per atom



Record 7
This record from the Alexandria database describes a PBEsol-optimized structure of VH4NO3. The functional is meta-GGA SCAN.

Lattice parameters (Å, degrees): 4.6584 5.8421 11.9065 90.00 90.00 90.00
With the nearest neighbours (Å) after each atom.
Sites, in units of the cell vectors:
O  0.4226  0.0000  0.2500  2 V 1.79
H  0.1215  0.7500  0.9706  1 N 1.06
O  0.5654  0.7500  0.5421  1 V 1.67, 2 H 1.69-1.71
H  0.2549  0.2500  0.0345  1 N 1.06
O  0.5774  0.5000  0.7500  2 V 1.79
H  0.8785  0.2500  0.0294  1 N 1.06
V  0.4591  0.2500  0.8241  4 O 1.64-1.79
H  0.9397  0.6072  0.8663  1 N 1.04
N  0.9380  0.7500  0.9179  4 H 1.04-1.06
O  0.4346  0.2500  0.4579  1 V 1.67, 2 H 1.69-1.71
V  0.5409  0.7500  0.1759  4 O 1.64-1.79
O  0.8922  0.7500  0.1741  1 V 1.64
H  0.0603  0.6072  0.3663  1 N 1.04
H  0.9397  0.1072  0.6337  1 N 1.04
H  0.9397  0.3928  0.6337  1 N 1.04
H  0.0603  0.1072  0.1337  1 N 1.04
O  0.1078  0.2500  0.8259  1 V 1.64
N  0.0620  0.2500  0.0821  4 H 1.04-1.06
O  0.5654  0.2500  0.9579  1 V 1.67, 2 H 1.69-1.71
H  0.8785  0.7500  0.4706  1 N 1.06
V  0.5409  0.2500  0.3241  4 O 1.64-1.79
H  0.7451  0.7500  0.9655  1 N 1.06
O  0.5774  0.0000  0.7500  2 V 1.79
H  0.2549  0.7500  0.4655  1 N 1.06
H  0.1215  0.2500  0.5294  1 N 1.06
O  0.8922  0.2500  0.3259  1 V 1.64
N  0.0620  0.7500  0.4179  4 H 1.04-1.06
V  0.4591  0.7500  0.6759  4 O 1.64-1.79
O  0.4346  0.7500  0.0421  1 V 1.67, 2 H 1.69-1.71
O  0.1078  0.7500  0.6741  1 V 1.64
H  0.0603  0.8928  0.3663  1 N 1.04
N  0.9380  0.2500  0.5821  4 H 1.04-1.06
H  0.9397  0.8928  0.8663  1 N 1.04
O  0.4226  0.5000  0.2500  2 V 1.79
H  0.0603  0.3928  0.1337  1 N 1.04
H  0.7451  0.2500  0.5345  1 N 1.06

Results
Total energy: -7.97 eV per atom



Record 8
This record from the Alexandria database describes a PBEsol-optimized structure of V3H8N2O8. The functional is meta-GGA SCAN.

Lattice parameters (Å, degrees): 5.5654 8.8354 8.8354 90.00 90.00 90.00
With the nearest neighbours (Å) after each atom.
Sites, in units of the cell vectors:
V  0.0020  0.3659  0.1341  4 O 1.65-1.78
H  0.6529  0.6035  0.2383  1 N 1.04
O  0.8872  0.6931  0.4220  2 V 1.73-1.92
O  0.2740  0.0000  0.0000  1 V 1.60
H  0.4330  0.3936  0.8936  1 N 1.03
N  0.5440  0.8273  0.6727  4 H 1.03-1.06
N  0.5440  0.1727  0.3273  4 H 1.03-1.06
H  0.4450  0.2450  0.2550  1 N 1.06
H  0.4330  0.8936  0.6064  1 N 1.03
N  0.5440  0.3273  0.8273  4 H 1.03-1.06
O  0.2740  0.5000  0.5000  1 V 1.60
H  0.6529  0.2383  0.3965  1 N 1.04
O  0.8951  0.0000  0.5000  2 V 1.78
O  0.8872  0.8069  0.9220  2 V 1.73-1.92
O  0.2985  0.3658  0.1342  1 V 1.65, 1 H 1.72
N  0.5440  0.6727  0.1727  4 H 1.03-1.06
O  0.2985  0.6342  0.8658  1 V 1.65, 1 H 1.72
V  0.9868  0.0000  0.0000  1 O 1.60
O  0.8872  0.3069  0.5780  2 V 1.73-1.92
O  0.8872  0.0780  0.8069  2 V 1.73-1.92
H  0.4450  0.7450  0.2450  1 N 1.06
H  0.4330  0.1064  0.3936  1 N 1.03
H  0.4330  0.6064  0.1064  1 N 1.03
O  0.8872  0.5780  0.6931  2 V 1.73-1.92
H  0.6529  0.2617  0.8965  1 N 1.04
H  0.6529  0.3965  0.7617  1 N 1.04
H  0.6529  0.7617  0.6035  1 N 1.04
O  0.2985  0.1342  0.6342  1 V 1.65, 1 H 1.72
V  0.9868  0.5000  0.5000  1 O 1.60
V  0.0020  0.8659  0.3659  4 O 1.65-1.78
V  0.0020  0.1341  0.6341  4 O 1.65-1.78
H  0.6529  0.8965  0.7383  1 N 1.04
H  0.4450  0.7550  0.7450  1 N 1.06
O  0.8872  0.1931  0.0780  2 V 1.73-1.92
O  0.8951  0.5000  0.0000  2 V 1.78
H  0.4450  0.2550  0.7550  1 N 1.06
H  0.6529  0.7383  0.1035  1 N 1.04
O  0.2985  0.8658  0.3658  1 V 1.65, 1 H 1.72
O  0.8872  0.9220  0.1931  2 V 1.73-1.92
V  0.0020  0.6341  0.8659  4 O 1.65-1.78
H  0.6529  0.1035  0.2617  1 N 1.04
O  0.8872  0.4220  0.3069  2 V 1.73-1.92

Results
Total energy: -8.63 eV per atom



Record 9
This record from the Alexandria database describes a PBEsol-optimized structure of ZrHN2O. The functional is meta-GGA SCAN.

Lattice parameters (Å, degrees): 3.0367 3.0367 4.1999 90.00 90.00 90.00
With the nearest neighbours (Å) after each atom.
Sites, in units of the cell vectors:
Zr  0.5000  0.5000  0.5000  4 O 2.15
O  0.0000  0.0000  0.5000  2 H 2.10, 4 Zr 2.15
N  0.5000  0.0000  0.0000  2 H 1.52
H  0.0000  0.0000  0.0000  4 N 1.52
N  0.0000  0.5000  0.0000  2 H 1.52

Results
Total energy: -11.95 eV per atom



Record 10
This record from the Alexandria database describes a PBEsol-optimized structure of HOsN2. The functional is meta-GGA SCAN.

Lattice parameters (Å, degrees): 4.2328 4.2328 5.1305 114.36 114.36 90.00
With the nearest neighbours (Å) after each atom.
Sites, in units of the cell vectors:
N  0.4027  0.8750  0.2500  2 H 1.76, 2 Os 1.89
Os  0.2500  0.7500  0.5000  4 N 1.89
H  0.5000  0.5000  0.0000  4 N 1.76
H  0.7500  0.2500  0.5000  4 N 1.76
N  0.1250  0.1527  0.7500  2 H 1.76, 2 Os 1.89
N  0.8473  0.3750  0.2500  2 H 1.76, 2 Os 1.89
Os  0.0000  0.0000  0.0000  4 N 1.89
N  0.6250  0.5973  0.7500  2 H 1.76, 2 Os 1.89

Results
Total energy: -22.46 eV per atom



Record 11
This record from the Alexandria database describes a PBEsol-optimized structure of HOs2N. The functional is meta-GGA SCAN.

Lattice parameters (Å, degrees): 3.7656 3.7656 3.7656 60.00 60.00 60.00
With the nearest neighbours (Å) after each atom.
Sites, in units of the cell vectors:
N  0.5000  0.5000  0.5000  8 Os 2.31
Os  0.7500  0.7500  0.7500  4 H 2.31, 4 N 2.31
Os  0.2500  0.2500  0.2500  4 H 2.31, 4 N 2.31
H  0.0000  0.0000  0.0000  8 Os 2.31

Results
Relative energy among the computed polymorphs: 929.4 meV/atom



Record 12
This record from the Alexandria database describes a PBEsol-optimized structure of HOs2N. The functional is meta-GGA SCAN.

Lattice parameters (Å, degrees): 4.0569 4.0569 5.7527 110.65 110.65 90.00
With the nearest neighbours (Å) after each atom.
Sites, in units of the cell vectors:
N  0.2500  0.7500  0.5000  4 Os 1.94
Os  0.6250  0.6086  0.7500  2 H 1.87, 2 N 1.94
Os  0.1250  0.1414  0.7500  2 H 1.87, 2 N 1.94
Os  0.3914  0.8750  0.2500  2 H 1.87, 2 N 1.94
H  0.7500  0.2500  0.5000  4 Os 1.87
N  0.0000  0.0000  0.0000  4 Os 1.94
Os  0.8586  0.3750  0.2500  2 H 1.87, 2 N 1.94
H  0.5000  0.5000  0.0000  4 Os 1.87

Results
Relative energy among the computed polymorphs: 0.0 meV/atom



Repeat the tenth record exactly.
This record from the Alexandria database describes a PBEsol-optimized structure of HOsN2. The functional is meta-GGA SCAN.

Lattice parameters (Å, degrees): 4.2328 4.2328 5.1305 114.36 114.36 90.00
With the nearest neighbours (Å) after each atom.
Sites, in units of the cell vectors:
N  0.4027  0.8750  0.2500  2 H 1.76, 2 Os 1.89
Os  0.2500  0.7500  0.5000  4 N 1.89
H  0.5000  0.5000  0.0000  4 N 1.76
H  0.7500  0.2500  0.5000  4 N 1.76
N  0.1250  0.1527  0.7500  2 H 1.76, 2 Os 1.89
N  0.8473  0.3750  0.2500  2 H 1.76, 2 Os 1.89
Os  0.0000  0.0000  0.0000  4 N 1.89
N  0.6250  0.5973  0.7500  2 H 1.76, 2 Os 1.89

Results
Total energy: -22.46 eV per atom